Record 1
Density functional theory data (PBE) for a geometry-optimized LaTc2Te structure.

The space group is Pm (No. 6) and the conventional cell measures 3.2971, 4.2039 and 6.5702 Å, with angles of 90.00, 101.94 and 90.00 degrees. The asymmetric unit holds La at (0.0000, 0.0000, 0.0000), Tc at (0.4769, 0.0000, 0.4147), Tc at (0.7802, 0.5000, 0.3097) and Te at (0.3576, 0.5000, 0.6751).

The calculation puts the energy relative to the elements, uncorrected at 0.05 eV/atom. The density of states at the Fermi level is 4.3 states/eV/cell. As for the relative energy among the computed polymorphs: 0.304 eV/atom. For the magnetic moment, the calculation gives 0.000 μB per atom. For the mass density, the calculation gives 8.62 g/cm3. For the uncorrected energy, the calculation gives -28.6 eV per cell.

Record 2
Density functional theory data (PBE) for a geometry-optimized KRb7 structure.

The space group is Fm-3m (No. 225) and the conventional cell measures 14.1461, 14.1461 and 14.1461 Å, with angles of 90.00, 90.00 and 90.00 degrees. The asymmetric unit holds K at (0.0000, 0.0000, 0.0000), Rb at (0.0000, 0.0000, 0.5000) and Rb at (0.0000, 0.2500, 0.2500).

The density of states at the Fermi level is 32.7 states/eV/cell. The value obtained for the energy of formation is 5 kJ/mol of formula units. For the magnetic moment, the calculation gives 0.000 μB per atom. For the mass density, the calculation gives 1.50 g/cm3. For the uncorrected energy, the calculation gives -31.3 eV per cell.

Question: The lowest mass density belongs to which entry?
Answer: KRb7

Repeat the second record exactly.
Density functional theory data (PBE) for a geometry-optimized KRb7 structure.

The space group is Fm-3m (No. 225) and the conventional cell measures 14.1461, 14.1461 and 14.1461 Å, with angles of 90.00, 90.00 and 90.00 degrees. The asymmetric unit holds K at (0.0000, 0.0000, 0.0000), Rb at (0.0000, 0.0000, 0.5000) and Rb at (0.0000, 0.2500, 0.2500).

The density of states at the Fermi level is 32.7 states/eV/cell. The value obtained for the energy of formation is 5 kJ/mol of formula units. For the magnetic moment, the calculation gives 0.000 μB per atom. For the mass density, the calculation gives 1.50 g/cm3. For the uncorrected energy, the calculation gives -31.3 eV per cell.